Entry 1:
{
  "formula": "Ta3TlMo",
  "functional": "PBE-GGA",
  "state": "optimized geometry",
  "spacegroup": "Pm-3m, No. 221",
  "delta_e_f_ev_per_fu": 6.7,
  "dft_energy_ev_per_atom": -8.409,
  "crystal_system": "cubic",
  "cell": [[-1.609, 4.188, -1.896], [-4.585, -1.314, 0.989], [0.339, 2.112, 4.376]],
  "species": ["Ta", "Mo", "Ta", "Tl", "Ta"],
  "frac_coords": [[0.000, 0.500, 0.000], [0.000, 0.000, 0.000], [0.500, 0.000, 0.000], [0.500, 0.500, 0.500], [0.000, 0.000, 0.500]]
}

=====

Entry 2:
{
  "formula": "CdGeBiH",
  "functional": "PBE-GGA",
  "state": "optimized geometry",
  "spacegroup": "P1, No. 1",
  "dft_energy_ev_per_atom": -2.982,
  "crystal_system": "triclinic",
  "cell": [[-0.577, -0.439, 3.291], [-3.048, -2.972, -2.668], [5.036, -3.429, 0.427]],
  "species": ["Ge", "Bi", "Cd", "H"],
  "frac_coords": [[0.332, 0.014, 0.006], [0.775, 0.907, 0.592], [0.015, 0.382, 0.331], [0.173, 0.699, 0.070]]
}

=====

Entry 3:
{
  "formula": "LaPrSO2",
  "functional": "PBE-GGA",
  "state": "optimized geometry",
  "spacegroup": "I4mm, No. 107",
  "dft_energy_ev_per_atom": -7.758,
  "crystal_system": "tetragonal",
  "cell": [[3.959, 0.000, 0.000], [0.000, 3.959, 0.000], [-1.979, -1.979, 6.290]],
  "species": ["O", "O", "Pr", "S", "La"],
  "frac_coords": [[0.249, 0.749, 0.499], [0.749, 0.249, 0.499], [0.149, 0.149, 0.298], [0.503, 0.503, 0.006], [0.849, 0.849, 0.699]]
}